(1)
Density functional theory data (PBE) for an optimized crystal structure of Na3CdBr4.

Cell lengths 5.8953, 10.3753, 9.0494 Å; angles 90.00, 90.00, 90.00 degrees
With the nearest neighbours (Å) after each atom.
Element x y z (fractional)
Na  0.2500  0.0006  0.1647  5 Br 2.94-3.03
Na  0.2500  0.4994  0.1647  5 Br 2.94-3.03
Na  0.2500  0.7500  0.6709  5 Br 2.93-3.03
Na  0.7500  0.2500  0.3291  5 Br 2.93-3.03
Na  0.7500  0.5006  0.8353  5 Br 2.94-3.03
Na  0.7500  0.9994  0.8353  5 Br 2.94-3.03
Cd  0.2500  0.2500  0.6647  5 Br 2.95-3.13
Cd  0.7500  0.7500  0.3353  5 Br 2.95-3.13
Br  0.2500  0.2500  0.3188  4 Na 2.94-2.95, 1 Cd 3.13
Br  0.2500  0.5099  0.8405  4 Na 2.93-2.95, 1 Cd 3.13
Br  0.2500  0.7500  0.3366  2 Cd 2.95, 3 Na 3.03
Br  0.2500  0.9901  0.8405  4 Na 2.93-2.95, 1 Cd 3.13
Br  0.7500  0.0099  0.1595  4 Na 2.93-2.95, 1 Cd 3.13
Br  0.7500  0.2500  0.6634  2 Cd 2.95, 3 Na 3.03
Br  0.7500  0.4901  0.1595  4 Na 2.93-2.95, 1 Cd 3.13
Br  0.7500  0.7500  0.6812  4 Na 2.94-2.95, 1 Cd 3.13

Values from the calculation:
Total energy = -21.31 eV/f.u.
Magnetization = 0.00 μB per formula unit
Crystal system = orthorhombic
Density of states at the Fermi level = 1.00 states/eV/f.u.

(2)
Density functional theory data (PBE) for an optimized crystal structure of NaCdBr2.

Cell lengths 5.3515, 5.3515, 5.3515 Å; angles 60.00, 60.00, 60.00 degrees
With the nearest neighbours (Å) after each atom.
Element x y z (fractional)
Na  0.0000  0.0000  0.0000  8 Br 3.28
Cd  0.5000  0.5000  0.5000  8 Br 3.28
Br  0.2500  0.2500  0.2500  4 Cd 3.28, 4 Na 3.28
Br  0.7500  0.7500  0.7500  4 Cd 3.28, 4 Na 3.28

Values from the calculation:
Relative energy among the computed polymorphs = 99 meV per atom
Magnetization = 0.00 μB per formula unit
Crystal system = cubic
Density of states at the Fermi level = 3.31 states/eV/f.u.